This record from the Alexandria database describes a relaxed HgBiN2 crystal. The functional is PBE.

The structure in POSCAR format:
```
HgBiN2
1.0
1.681 -2.904 0.000
1.681 2.904 0.000
-1.616 0.000 12.747
Hg Bi N
1 1 2
Direct
0.000 0.000 0.000 Hg
0.125 0.125 0.250 Bi
0.680 0.680 0.580 N
0.689 0.689 0.667 N
```

Properties
The spin magnetization is 0.00 μB/cell. Its energy relative to the elements, uncorrected is 0.1312 eV/atom. The value obtained for the energy above the lowest structure with this stoichiometry is 0 meV/atom.


This record from the Alexandria database describes a relaxed Hg3Bi5N2 crystal. The functional is PBE.

The structure in POSCAR format:
```
Hg3Bi5N2
1.0
6.107 0.000 0.000
0.911 7.858 0.000
2.377 0.446 11.512
Hg Bi N
6 10 4
Direct
0.020 0.008 0.221 Hg
0.050 0.768 0.010 Hg
0.379 0.382 0.948 Hg
0.621 0.618 0.052 Hg
0.950 0.232 0.990 Hg
0.980 0.992 0.779 Hg
0.074 0.534 0.256 Bi
0.087 0.211 0.459 Bi
0.434 0.679 0.661 Bi
0.483 0.920 0.858 Bi
0.498 0.802 0.358 Bi
0.502 0.198 0.642 Bi
0.517 0.080 0.142 Bi
0.566 0.321 0.339 Bi
0.913 0.789 0.541 Bi
0.926 0.466 0.744 Bi
0.124 0.249 0.645 N
0.430 0.578 0.267 N
0.570 0.422 0.733 N
0.876 0.751 0.355 N
```

Properties
The spin magnetization is 0.00 μB/cell. Its energy relative to the elements, uncorrected is 0.3717 eV/atom.


This record from the Alexandria database describes a relaxed Hg3BiN crystal. The functional is PBE.

The structure in POSCAR format:
```
Hg3BiN
1.0
4.853 0.000 0.000
0.000 4.853 0.000
0.000 0.000 4.853
Hg Bi N
3 1 1
Direct
0.000 0.000 0.500 Hg
0.000 0.500 0.000 Hg
0.500 0.000 0.000 Hg
0.500 0.500 0.500 Bi
0.000 0.000 0.000 N
```

Properties
The spin magnetization is 0.00 μB/cell. Its energy relative to the elements, uncorrected is 0.8154 eV/atom. The value obtained for the energy above the lowest structure with this stoichiometry is 356 meV/atom.


This record from the Alexandria database describes a relaxed HgBiN2 crystal. The functional is PBE.

The structure in POSCAR format:
```
HgBiN2
1.0
-2.665 2.665 5.341
2.665 -2.665 5.341
2.665 2.665 -5.341
Hg Bi N
2 2 4
Direct
0.000 0.000 0.000 Hg
0.750 0.250 0.500 Hg
0.250 0.750 0.500 Bi
0.500 0.500 0.000 Bi
0.144 0.625 0.019 N
0.375 0.394 0.519 N
0.606 0.125 0.981 N
0.875 0.856 0.481 N
```

Properties
The spin magnetization is 0.00 μB/cell. Its energy relative to the elements, uncorrected is 0.9845 eV/atom. The value obtained for the energy above the lowest structure with this stoichiometry is 853 meV/atom.